Entry 1:
Density functional theory data (GGA-PBE) for a relaxed Nb3SbC crystal.

```
Nb3SbC
1.0
5.0560 0.0000 0.0000
0.0000 5.0560 0.0000
0.0000 0.0000 5.0560
Nb Sb C
3 1 1
Cartesian
0.0000 0.0000 2.5280 Nb
0.0000 2.5280 0.0000 Nb
2.5280 0.0000 0.0000 Nb
0.0000 0.0000 0.0000 Sb
2.5280 2.5280 2.5280 C
```

Calculated values
Its space-group type is Pm-3m. For the formation energy without anion corrections, the calculation gives 2.8713 eV per atom. For the total DFT energy (no corrections), the calculation gives -5.840 eV/atom.

=====

Entry 2:
Density functional theory data (GGA-PBE) for a relaxed ScTe2Rh crystal.

```
ScTe2Rh
1.0
2.0905 1.2070 6.1385
-2.0905 1.2070 6.1385
0.0000 -2.4139 6.1385
Sc Te Rh
1 2 1
Cartesian
0.0000 0.0000 0.0000 Sc
0.0000 0.0000 4.4670 Te
0.0000 0.0000 13.9484 Te
0.0000 0.0000 9.2077 Rh
```

Calculated values
Its space-group type is R-3m. For the formation energy without anion corrections, the calculation gives -0.5458 eV per atom. For the total DFT energy (no corrections), the calculation gives -5.537 eV/atom.

=====

Entry 3:
Density functional theory data (GGA-PBE) for a relaxed AcPm2Ho6 crystal.

```
AcPm2Ho6
1.0
8.7182 0.0000 0.0000
0.0000 5.9228 0.0000
-2.8765 0.0000 12.3641
Ac Pm Ho
2 4 12
Cartesian
0.0000 0.0000 0.0000 Ac
-1.4383 2.9614 6.1820 Ac
3.3796 0.9737 2.0308 Pm
1.9413 1.9877 8.2128 Pm
3.9003 3.9351 4.1512 Pm
2.4621 4.9490 10.3333 Pm
-1.0200 4.3647 9.3990 Ho
0.4183 4.5195 3.2169 Ho
-0.0836 1.2260 10.8152 Ho
1.3547 1.7354 4.6332 Ho
2.8978 3.9047 0.4439 Ho
1.4596 4.9795 6.6260 Ho
4.3821 0.9433 5.7381 Ho
2.9439 2.0181 11.9201 Ho
4.4870 4.1874 7.7309 Ho
5.9253 4.6968 1.5489 Ho
5.4234 1.4033 9.1471 Ho
6.8617 1.5581 2.9651 Ho
```

Calculated values
Its space-group type is P2_1/c. For the total DFT energy (no corrections), the calculation gives -4.305 eV/atom. Its formation energy is 259 meV per atom.

=====

Entry 4:
Density functional theory data (GGA-PBE) for a relaxed NaHo3Pu2Se6 crystal.

```
NaHo3Pu2Se6
1.0
9.0009 -2.0447 0.0000
9.0009 2.0447 0.0000
-1.9837 0.0000 8.0293
Na Ho Pu Se
1 3 2 6
Cartesian
0.0000 0.0000 0.0000 Na
-0.9919 0.0000 4.0147 Ho
5.6640 0.0000 1.3592 Ho
10.3541 0.0000 6.6702 Ho
4.6709 0.0000 5.3491 Pu
11.3472 0.0000 2.6803 Pu
1.8030 0.0000 4.7018 Se
2.8740 0.0000 0.6181 Se
8.4544 0.0000 2.0490 Se
7.5636 0.0000 5.9803 Se
13.1440 0.0000 7.4112 Se
14.2150 0.0000 3.3275 Se
```

Calculated values
Its space-group type is C2/m. For the formation energy without anion corrections, the calculation gives -1.6562 eV per atom. For the total DFT energy (no corrections), the calculation gives -7.041 eV/atom.

=====

Question: Among the records above, which one has the highest total DFT energy (no corrections)?
Answer: AcPm2Ho6

=====

Question: What is the total DFT energy (no corrections) in the second record?
Answer: -5.537 eV/atom

=====

Question: What is the total DFT energy (no corrections) in the first record?
Answer: -5.840 eV/atom

=====

Question: Among the records above, which one has the lowest total DFT energy (no corrections)?
Answer: NaHo3Pu2Se6